Density functional theory data (PBE-GGA) for an optimized crystal structure of Cs6PaBi4.

The crystal system is hexagonal. The value obtained for the energy relative to the elements is -0.30 eV per atom.

Unit cell a=12.4057 b=12.4057 c=9.7337 alpha=90.00 beta=90.00 gamma=120.00
Space group P6_3mc (No. 186)
Symmetry-distinct sites (fractional):
Cs 0.0602 0.5301 0.0000
Cs 0.1432 0.2865 0.3129
Pa 0.3333 0.6667 0.6139
Bi 0.1980 0.3960 0.7026
Bi 0.3333 0.6667 0.3027